Below is crystalline PbCSe2N at its relaxed geometry, with properties calculated at the PBE-GGA level.

a b c (Å): 5.5874 5.5874 4.3074
angles (deg): 90.00 90.00 90.00
Positions (direct):
Pb (0.0000, 0.0000, 0.0000)
C (0.5000, 0.5000, 0.5000)
Se (0.0000, 0.5000, 0.0000)
Se (0.5000, 0.0000, 0.0000)
N (0.0000, 0.0000, 0.5000)

Output
The space-group type is P4/mmm (123). As for the calculated density: 4.83 Mg/m³. The calculation puts the formation energy without anion corrections at 2588 meV per atom. As for the energy above the most stable polymorph in this dataset: 1854 meV per atom.

---

Below is crystalline SrYPb6 at its relaxed geometry, with properties calculated at the PBE-GGA level.

a b c (Å): 4.9796 4.9796 9.8220
angles (deg): 90.00 90.00 90.00
Positions (direct):
Sr (0.0000, 0.0000, 0.0000)
Y (0.0000, 0.0000, 0.5000)
Pb (0.0000, 0.5000, 0.2572)
Pb (0.0000, 0.5000, 0.7428)
Pb (0.5000, 0.0000, 0.2572)
Pb (0.5000, 0.0000, 0.7428)
Pb (0.5000, 0.5000, 0.0000)
Pb (0.5000, 0.5000, 0.5000)

Output
The space-group type is P4/mmm (123). As for the calculated density: 9.68 Mg/m³. The formation energy is -329 meV per atom.